4
Lattice="-2.907 0.825 0.700 -0.053 -3.201 3.550 3.438 3.689 3.378" Properties=species:S:1:pos:R:3 comment="LaSc2W, single point on PBEsol structure, DFT SCAN" sg=P2/m delta_e_f_ev_per_atom=0.414 rho_g_cm3=7.8 volume_a3_per_cell=87.3 pbc="T T T"
W -1.480 -1.188 2.125
Sc 2.383 2.972 2.716
Sc -1.852 1.542 1.363
La 0.239 0.657 3.814